(1)
The following is a DFT calculation (meta-GGA SCAN) of a crystal of CdSbBr2 relaxed with PBEsol.

Values from the calculation:
Electronic total energy = -0.98270 hartree per atom
DOS(E_F) = 0.353 states/eV/atom
Formation energy from raw total energies = -0.092 eV/atom
V = 206.7 Å³/cell

Cell lengths 3.630, 6.060, 9.396 Å; angles 90.00, 90.00, 90.00 degrees
Space group Cmmm (No. 65)
One atom of each set of equivalent atoms:
Cd 0.000 0.000 0.000 x2
Sb 0.000 0.000 0.500 x2
Br 0.000 0.500 0.252 x4

---

(2)
The following is a DFT calculation (meta-GGA SCAN) of a crystal of LiMg2Cd relaxed with PBEsol.

Values from the calculation:
Electronic total energy = -0.39744 hartree per atom
DOS(E_F) = 0.292 states/eV/atom
V = 160.9 Å³/cell
ΔH_f (0 K) = -127 meV/atom

Cell lengths 5.971, 9.641, 3.019 Å; angles 90.00, 112.18, 90.00 degrees
Space group C2/m (No. 12)
One atom of each set of equivalent atoms:
Li 0.000 0.000 0.000 x2
Mg 0.250 0.250 0.500 x4
Cd 0.000 0.500 0.000 x2

---

(3)
The following is a DFT calculation (meta-GGA SCAN) of a crystal of In2ReTc relaxed with PBEsol.

Values from the calculation:
Electronic total energy = -1.57299 hartree per atom
DOS(E_F) = 0.527 states/eV/atom
V = 137.8 Å³/cell
ΔH_f (0 K) = 429 meV/atom

Cell lengths 10.113, 3.002, 4.779 Å; angles 90.00, 108.20, 90.00 degrees
Space group Cm (No. 8)
One atom of each set of equivalent atoms:
In 0.000 0.000 0.000 x2
In 0.218 0.000 0.658 x2
Re 0.257 0.500 0.184 x2
Tc 0.463 0.000 0.475 x2